[1]
## Te2MoBr (GGA-PBE)

Data for Te2MoBr after structural relaxation.

Computed properties:
- Space-group type: No. 166
- E_form (uncorrected): -0.0840 eV/atom
- Offset from the most stable computed form: 0 meV/atom

Cell: 8.964 8.964 8.964 Å, 23.26 23.26 23.26°
Fractional coordinates of all 4 atoms:
Te  0.236  0.236  0.236
Te  0.764  0.764  0.764
Mo  0.500  0.500  0.500
Br  0.000  0.000  0.000


[2]
## Tl3GeI6 (GGA-PBE)

Data for Tl3GeI6 after structural relaxation.

Computed properties:
- Space-group type: No. 148
- E_form (uncorrected): -0.4401 eV/atom
- Offset from the most stable computed form: 4 meV/atom

Cell: 9.421 9.421 9.421 Å, 87.13 87.13 87.13°
Fractional coordinates of all 20 atoms:
Tl  0.102  0.555  0.180
Tl  0.180  0.102  0.555
Tl  0.445  0.820  0.898
Tl  0.555  0.180  0.102
Tl  0.820  0.898  0.445
Tl  0.898  0.445  0.820
Ge  0.000  0.000  0.000
Ge  0.500  0.500  0.500
I  0.105  0.768  0.823
I  0.177  0.895  0.232
I  0.191  0.478  0.526
I  0.232  0.177  0.895
I  0.474  0.809  0.522
I  0.478  0.526  0.191
I  0.522  0.474  0.809
I  0.526  0.191  0.478
I  0.768  0.823  0.105
I  0.809  0.522  0.474
I  0.823  0.105  0.768
I  0.895  0.232  0.177


[3]
## Zr2TlCu (GGA-PBE)

Data for Zr2TlCu after structural relaxation.

Computed properties:
- Space-group type: No. 44
- E_form: -15 meV/atom

Cell: 5.827 5.827 5.827 Å, 147.69 128.49 62.12°
Fractional coordinates of all 4 atoms:
Zr  0.000  0.000  0.000
Zr  0.735  0.235  0.500
Tl  0.452  0.452  0.000
Cu  0.228  0.728  0.500


[4]
## Cs2SnPbI6 (GGA-PBE)

Data for Cs2SnPbI6 after structural relaxation.

Computed properties:
- Space-group type: No. 123
- E_form (uncorrected): -0.9662 eV/atom

Cell: 6.334 6.334 12.664 Å, 90.00 90.00 90.00°
Fractional coordinates of all 10 atoms:
Cs  0.000  0.000  0.248
Cs  0.000  0.000  0.752
Sn  0.500  0.500  0.000
Pb  0.500  0.500  0.500
I  0.000  0.500  0.000
I  0.000  0.500  0.500
I  0.500  0.000  0.000
I  0.500  0.000  0.500
I  0.500  0.500  0.247
I  0.500  0.500  0.753


[5]
## Ce4IrRuBr2 (GGA-PBE)

Data for Ce4IrRuBr2 after structural relaxation.

Computed properties:
- Space-group type: No. 10
- E_form (uncorrected): -0.9338 eV/atom

Cell: 7.053 4.068 8.025 Å, 90.00 107.02 90.00°
Fractional coordinates of all 8 atoms:
Ce  0.228  0.000  0.197
Ce  0.264  0.500  0.804
Ce  0.736  0.500  0.196
Ce  0.772  0.000  0.803
Ir  0.500  0.000  0.000
Ru  0.000  0.500  0.000
Br  0.000  0.000  0.500
Br  0.500  0.500  0.500


[6]
## Tb3Pm7Ho (GGA-PBE)

Data for Tb3Pm7Ho after structural relaxation.

Computed properties:
- Space-group type: No. 10
- Offset from the most stable computed form: 0 meV/atom
- E_form: 120 meV/atom

Cell: 7.071 5.647 10.037 Å, 90.00 110.43 90.00°
Fractional coordinates of all 11 atoms:
Tb  0.000  0.000  0.000
Tb  0.279  0.500  0.499
Tb  0.721  0.500  0.501
Pm  0.000  0.000  0.500
Pm  0.145  0.500  0.792
Pm  0.321  0.500  0.139
Pm  0.415  0.000  0.329
Pm  0.585  0.000  0.671
Pm  0.679  0.500  0.861
Pm  0.855  0.500  0.208
Ho  0.500  0.000  0.000


[7]
## CaGeP2S (GGA-PBE)

Data for CaGeP2S after structural relaxation.

Computed properties:
- Space-group type: No. 123
- E_form (uncorrected): 0.8861 eV/atom
- Offset from the most stable computed form: 861 meV/atom

Cell: 5.172 5.172 5.104 Å, 90.00 90.00 90.00°
Fractional coordinates of all 5 atoms:
Ca  0.000  0.000  0.000
Ge  0.500  0.500  0.500
P  0.000  0.500  0.000
P  0.500  0.000  0.000
S  0.000  0.000  0.500


[8]
## Hf2GaTe2 (GGA-PBE)

Data for Hf2GaTe2 after structural relaxation.

Computed properties:
- Space-group type: No. 127
- E_form (uncorrected): -0.3823 eV/atom

Cell: 7.787 7.787 3.797 Å, 90.00 90.00 90.00°
Fractional coordinates of all 10 atoms:
Hf  0.147  0.353  0.000
Hf  0.353  0.853  0.000
Hf  0.647  0.147  0.000
Hf  0.853  0.647  0.000
Ga  0.000  0.000  0.000
Ga  0.500  0.500  0.000
Te  0.149  0.649  0.500
Te  0.351  0.149  0.500
Te  0.649  0.851  0.500
Te  0.851  0.351  0.500


[9]
## PmPrSmO (GGA-PBE)

Data for PmPrSmO after structural relaxation.

Computed properties:
- Space-group type: No. 129
- E_form (uncorrected): -1.0229 eV/atom

Cell: 4.258 4.258 13.879 Å, 90.00 90.00 90.00°
Fractional coordinates of all 8 atoms:
Pm  0.250  0.250  0.073
Pm  0.750  0.750  0.927
Pr  0.250  0.250  0.712
Pr  0.750  0.750  0.288
Sm  0.250  0.750  0.500
Sm  0.750  0.250  0.500
O  0.250  0.750  0.000
O  0.750  0.250  0.000


[10]
## Y2ZrHg (GGA-PBE)

Data for Y2ZrHg after structural relaxation.

Computed properties:
- Space-group type: No. 119
- E_form: -53 meV/atom

Cell: 5.922 5.922 5.922 Å, 134.77 134.77 65.89°
Fractional coordinates of all 4 atoms:
Y  0.000  0.000  0.000
Y  0.750  0.250  0.500
Zr  0.250  0.750  0.500
Hg  0.500  0.500  0.000


[11]
## Fe5Co (GGA-PBE)

Data for Fe5Co after structural relaxation.

Computed properties:
- Space-group type: No. 123
- E_form: 95 meV/atom

Cell: 2.449 2.449 11.649 Å, 90.00 90.00 90.00°
Fractional coordinates of all 6 atoms:
Fe  0.000  0.000  0.000
Fe  0.000  0.000  0.340
Fe  0.000  0.000  0.660
Fe  0.500  0.500  0.171
Fe  0.500  0.500  0.829
Co  0.500  0.500  0.500


[12]
## Pa5Ga (GGA-PBE)

Data for Pa5Ga after structural relaxation.

Computed properties:
- Space-group type: No. 65
- Offset from the most stable computed form: 0 meV/atom
- E_form: -91 meV/atom

Cell: 7.282 7.282 4.484 Å, 90.00 90.00 143.69°
Fractional coordinates of all 6 atoms:
Pa  0.000  0.000  0.000
Pa  0.162  0.838  0.500
Pa  0.340  0.660  0.000
Pa  0.660  0.340  0.000
Pa  0.838  0.162  0.500
Ga  0.500  0.500  0.500